The following is a DFT calculation (GGA-PBE) of a relaxed AlHPd2Rh crystal.

a b c (Å): 3.926 3.926 3.964
angles (deg): 90.00 90.00 90.00
Atoms (fractional coordinates):
H 0.000 0.000 0.000
Rh 0.000 0.000 0.500
Al 0.500 0.500 0.500
Pd 0.000 0.500 0.000
Pd 0.500 0.000 0.000

Summary:
The value obtained for the magnetic moment is 0.000 μB per cell. For the total DFT energy (no corrections), the calculation gives -5.428 eV/atom.


The following is a DFT calculation (GGA-PBE) of a relaxed AlHPdRu2 crystal.

a b c (Å): 3.884 3.884 3.965
angles (deg): 90.00 90.00 90.00
Atoms (fractional coordinates):
Ru 0.000 0.500 0.000
Ru 0.500 0.000 0.000
Al 0.500 0.500 0.500
Pd 0.000 0.000 0.500
H 0.000 0.000 0.000

Summary:
The value obtained for the magnetic moment is 0.000 μB per cell. For the total DFT energy (no corrections), the calculation gives -6.299 eV/atom.


What did the first record say?
The following is a DFT calculation (GGA-PBE) of a relaxed AlHPd2Rh crystal.

a b c (Å): 3.926 3.926 3.964
angles (deg): 90.00 90.00 90.00
Atoms (fractional coordinates):
H 0.000 0.000 0.000
Rh 0.000 0.000 0.500
Al 0.500 0.500 0.500
Pd 0.000 0.500 0.000
Pd 0.500 0.000 0.000

Summary:
The value obtained for the magnetic moment is 0.000 μB per cell. For the total DFT energy (no corrections), the calculation gives -5.428 eV/atom.


What is the formula in the second record?
AlHPdRu2